Record 1
VASP calculation (PBE-GGA) on an optimized crystal structure of MnHgOs2.

a = 3.9274 Å, b = 3.9274 Å, c = 3.9966 Å
α = 90.00°, β = 90.00°, γ = 90.00°
Closest atoms and distances in Å follow each position.
Space group P4/mmm (No. 123)
Unique sites:
Mn  0.0000  0.0000  0.0000 (multiplicity 1)  4 Hg 2.78, 8 Os 2.80
Hg  0.5000  0.5000  0.0000 (multiplicity 1)  4 Mn 2.78, 8 Os 2.80
Os  0.0000  0.5000  0.5000 (multiplicity 2)  4 Os 2.78, 4 Hg 2.80, 4 Mn 2.80

- Spin magnetization: 2.871 μB/f.u.
- E_tot: -7.267 eV/atom
- ΔH_f (0 K): 715 meV/atom
- D(E_F): 1.219 states/eV/atom

Record 2
VASP calculation (PBE-GGA) on an optimized crystal structure of Mn2HgOs.

a = 2.8272 Å, b = 2.8272 Å, c = 26.7277 Å
α = 90.00°, β = 90.00°, γ = 120.00°
Closest atoms and distances in Å follow each position.
Space group R3m (No. 160, hexagonal axes)
Unique sites:
Mn  0.0000  0.0000  0.0000 (multiplicity 3)  9 Mn 2.55-2.83, 3 Os 2.55
Mn  0.0000  0.0000  0.2601 (multiplicity 3)  9 Mn 2.55-2.83
Hg  0.0000  0.0000  0.5030 (multiplicity 3)  6 Hg 2.83, 3 Mn 2.92, 3 Os 3.05
Os  0.0000  0.0000  0.7400 (multiplicity 3)  3 Mn 2.55, 6 Os 2.83

- Spin magnetization: 1.123 μB/f.u.
- E_tot: -7.030 eV/atom
- ΔH_f (0 K): 437 meV/atom
- D(E_F): 0.982 states/eV/atom

Record 3
VASP calculation (PBE-GGA) on an optimized crystal structure of MnHgOs2.

a = 2.7522 Å, b = 2.7522 Å, c = 27.7054 Å
α = 90.00°, β = 90.00°, γ = 120.00°
Closest atoms and distances in Å follow each position.
Space group R-3m (No. 166, hexagonal axes)
Unique sites:
Mn  0.0000  0.0000  0.0000 (multiplicity 3)  6 Os 2.54, 6 Mn 2.75
Hg  0.0000  0.0000  0.5000 (multiplicity 3)  6 Hg 2.75
Os  0.0000  0.0000  0.2620 (multiplicity 6)  3 Mn 2.54, 6 Os 2.75

- Spin magnetization: 0.000 μB/f.u.
- E_tot: -7.548 eV/atom
- ΔH_f (0 K): 435 meV/atom
- D(E_F): 0.564 states/eV/atom

Record 4
VASP calculation (PBE-GGA) on an optimized crystal structure of Mn2HgOs.

a = 5.8217 Å, b = 7.3174 Å, c = 2.8848 Å
α = 90.00°, β = 90.00°, γ = 90.00°
Closest atoms and distances in Å follow each position.
Space group Cmmm (No. 65)
Unique sites:
Mn  0.2500  0.2500  0.0000 (multiplicity 4)  4 Hg 2.75, 4 Os 2.75, 4 Mn 2.88-2.91
Hg  0.0000  0.0000  0.5000 (multiplicity 2)  8 Mn 2.75, 2 Hg 2.88, 2 Os 2.91
Os  0.0000  0.5000  0.5000 (multiplicity 2)  8 Mn 2.75, 2 Os 2.88, 2 Hg 2.91

- Spin magnetization: 6.604 μB/f.u.
- E_tot: -7.037 eV/atom
- ΔH_f (0 K): 431 meV/atom
- D(E_F): 0.754 states/eV/atom

Record 5
VASP calculation (PBE-GGA) on an optimized crystal structure of MnHgOs2.

a = 2.7706 Å, b = 2.7706 Å, c = 27.2682 Å
α = 90.00°, β = 90.00°, γ = 120.00°
Closest atoms and distances in Å follow each position.
Space group R3m (No. 160, hexagonal axes)
Unique sites:
Mn  0.0000  0.0000  0.0000 (multiplicity 3)  3 Os 2.54, 6 Mn 2.77
Hg  0.0000  0.0000  0.2460 (multiplicity 3)  6 Hg 2.77, 3 Mn 2.87, 3 Os 3.03
Os  0.0000  0.0000  0.4849 (multiplicity 3)  9 Os 2.69-2.77
Os  0.0000  0.0000  0.7390 (multiplicity 3)  3 Mn 2.54, 9 Os 2.69-2.77

- Spin magnetization: 0.126 μB/f.u.
- E_tot: -7.484 eV/atom
- ΔH_f (0 K): 499 meV/atom
- D(E_F): 0.661 states/eV/atom

Record 6
VASP calculation (PBE-GGA) on an optimized crystal structure of Mn2Hg2Os.

a = 7.4440 Å, b = 7.4440 Å, c = 3.1507 Å
α = 90.00°, β = 90.00°, γ = 90.00°
Closest atoms and distances in Å follow each position.
Space group P4/mbm (No. 127)
Unique sites:
Mn  0.1701  0.3299  0.0000 (multiplicity 4)  6 Hg 2.59-2.77
Hg  0.1342  0.6342  0.5000 (multiplicity 4)  6 Mn 2.59-2.77, 1 Hg 2.83, 2 Os 2.90
Os  0.0000  0.0000  0.5000 (multiplicity 2)  4 Hg 2.90, 2 Os 3.15, 8 Mn 3.18

- Polymorph energy (0 for the lowest one): 0.0 meV/atom
- Spin magnetization: 7.157 μB/f.u.
- E_tot: -5.235 eV/atom
- ΔH_f (0 K): 799 meV/atom
- D(E_F): 0.602 states/eV/atom

Record 7
VASP calculation (PBE-GGA) on an optimized crystal structure of MnHg3Os.

a = 5.2349 Å, b = 5.2349 Å, c = 5.2349 Å
α = 90.00°, β = 90.00°, γ = 90.00°
Closest atoms and distances in Å follow each position.
Space group Pm-3m (No. 221)
Unique sites:
Mn  0.0000  0.0000  0.0000 (multiplicity 1)  12 Hg 3.70
Hg  0.0000  0.5000  0.5000 (multiplicity 3)  2 Os 2.62
Os  0.5000  0.5000  0.5000 (multiplicity 1)  6 Hg 2.62

- Polymorph energy (0 for the lowest one): 0.0 meV/atom
- Spin magnetization: 6.066 μB/f.u.
- E_tot: -3.130 eV/atom
- ΔH_f (0 K): 1131 meV/atom
- D(E_F): 0.753 states/eV/atom

Record 8
VASP calculation (PBE-GGA) on an optimized crystal structure of MnHgOs2.

a = 3.9100 Å, b = 3.9100 Å, c = 8.0120 Å
α = 90.00°, β = 90.00°, γ = 90.00°
Closest atoms and distances in Å follow each position.
Space group I4/mmm (No. 139)
Unique sites:
Mn  0.0000  0.0000  0.0000 (multiplicity 2)  4 Hg 2.76, 8 Os 2.80
Hg  0.0000  0.0000  0.5000 (multiplicity 2)  4 Mn 2.76, 8 Os 2.80
Os  0.0000  0.5000  0.2500 (multiplicity 4)  4 Os 2.76, 4 Hg 2.80, 4 Mn 2.80

- Spin magnetization: 1.635 μB/f.u.
- E_tot: -7.291 eV/atom
- ΔH_f (0 K): 692 meV/atom
- D(E_F): 0.942 states/eV/atom

Record 9
VASP calculation (PBE-GGA) on an optimized crystal structure of Mn2HgOs.

a = 3.9400 Å, b = 3.9400 Å, c = 7.8925 Å
α = 90.00°, β = 90.00°, γ = 90.00°
Closest atoms and distances in Å follow each position.
Space group I-4m2 (No. 119)
Unique sites:
Mn  0.0000  0.0000  0.0000 (multiplicity 2)  4 Hg 2.79, 4 Mn 2.79, 4 Os 2.79
Mn  0.0000  0.5000  0.2500 (multiplicity 2)  4 Os 2.79, 4 Hg 2.79, 4 Mn 2.79
Hg  0.0000  0.0000  0.5000 (multiplicity 2)  8 Mn 2.79, 4 Os 2.79
Os  0.0000  0.5000  0.7500 (multiplicity 2)  8 Mn 2.79, 4 Hg 2.79

- Spin magnetization: 6.314 μB/f.u.
- E_tot: -6.925 eV/atom
- ΔH_f (0 K): 543 meV/atom
- D(E_F): 0.862 states/eV/atom

Record 10
VASP calculation (PBE-GGA) on an optimized crystal structure of MnHgOs2.

a = 2.9610 Å, b = 2.9610 Å, c = 7.0540 Å
α = 90.00°, β = 90.00°, γ = 90.00°
Closest atoms and distances in Å follow each position.
Space group P4/mmm (No. 123)
Unique sites:
Mn  0.0000  0.0000  0.0000 (multiplicity 1)  8 Os 2.53
Hg  0.0000  0.0000  0.5000 (multiplicity 1)  4 Hg 2.96, 8 Os 2.97
Os  0.5000  0.5000  0.2005 (multiplicity 2)  4 Mn 2.53, 1 Os 2.83

- Spin magnetization: 1.884 μB/f.u.
- E_tot: -7.457 eV/atom
- ΔH_f (0 K): 525 meV/atom
- D(E_F): 0.717 states/eV/atom

Record 11
VASP calculation (PBE-GGA) on an optimized crystal structure of MnHgOs2.

a = 6.3259 Å, b = 6.3259 Å, c = 6.3259 Å
α = 90.00°, β = 90.00°, γ = 90.00°
Closest atoms and distances in Å follow each position.
Space group F-43m (No. 216)
Unique sites:
Mn  0.0000  0.0000  0.0000 (multiplicity 4)  4 Hg 2.74, 4 Os 2.74
Hg  0.2500  0.2500  0.7500 (multiplicity 4)  4 Os 2.74, 4 Mn 2.74
Os  0.0000  0.0000  0.5000 (multiplicity 4)  4 Os 2.74, 4 Hg 2.74
Os  0.2500  0.2500  0.2500 (multiplicity 4)  4 Mn 2.74, 4 Os 2.74

- Spin magnetization: 4.098 μB/f.u.
- E_tot: -7.187 eV/atom
- ΔH_f (0 K): 796 meV/atom
- D(E_F): 1.251 states/eV/atom

Record 12
VASP calculation (PBE-GGA) on an optimized crystal structure of Mn2HgOs.

a = 2.8585 Å, b = 2.8585 Å, c = 7.5528 Å
α = 90.00°, β = 90.00°, γ = 90.00°
Closest atoms and distances in Å follow each position.
Space group P4/mmm (No. 123)
Unique sites:
Mn  0.0000  0.0000  0.2180 (multiplicity 2)  4 Os 2.61, 4 Mn 2.86
Hg  0.5000  0.5000  0.5000 (multiplicity 1)  4 Hg 2.86, 8 Mn 2.94
Os  0.5000  0.5000  0.0000 (multiplicity 1)  8 Mn 2.61, 4 Os 2.86

- Spin magnetization: 5.580 μB/f.u.
- E_tot: -7.183 eV/atom
- ΔH_f (0 K): 285 meV/atom
- D(E_F): 1.056 states/eV/atom